Version w
Material: K3ScCl
Method: DFT, PBE
State: optimized geometry

Values from the calculation:
M_tot = 0.595 μB per atom
crystal system = cubic

a = 7.331 Å, b = 7.331 Å, c = 7.331 Å
α = 90.00°, β = 90.00°, γ = 90.00°
Last column: magnetic moment on the atom in μB.
Fractional positions:
K 0.500 0.000 0.000  0.05
K 0.000 0.000 0.500  0.02
K 0.000 0.500 0.000  0.03
Sc 0.000 0.000 0.000  1.14
Cl 0.500 0.500 0.500  0.02


Version x
Material: K3ScCl
Method: DFT, PBE
State: optimized geometry

Values from the calculation:
M_tot = 0.442 μB per atom
crystal system = cubic

a = 6.188 Å, b = 6.188 Å, c = 6.188 Å
α = 90.00°, β = 90.00°, γ = 90.00°
Last column: magnetic moment on the atom in μB.
Fractional positions:
K 0.500 0.000 0.000  0.01
K 0.000 0.500 0.000  0.01
K 0.000 0.000 0.500  0.02
Cl 0.000 0.000 0.000  0.01
Sc 0.500 0.500 0.500  0.98


Of them, the most stable is version x and the least stable is version w.